Record 1
A relaxed structure of Zr2TlBr, computed with GGA-PBE.

abc: 3.3356 3.3356 9.9019
angles: 90.00 90.00 120.93
With the nearest neighbours (Å) after each atom.
Atoms (fractional coordinates):
Br (0.5000, 0.5000, 0.2500)  4 Zr 2.87
Zr (0.0000, 0.0000, 0.4880)  2 Br 2.87, 2 Tl 3.07
Zr (0.0000, 0.0000, 0.0120)  2 Br 2.87, 2 Tl 3.07
Tl (0.5000, 0.5000, 0.7500)  4 Zr 3.07, 6 Tl 3.29-3.34

Values from the calculation:
* polymorph energy (0 for the lowest one): 117 meV/atom
* energy relative to the elements, uncorrected: -0.139 eV per atom


Record 2
A relaxed structure of ZrTlBr2, computed with GGA-PBE.

abc: 5.9525 6.0775 3.4865
angles: 72.75 91.13 119.69
With the nearest neighbours (Å) after each atom.
Atoms (fractional coordinates):
Tl (0.0000, 0.5000, 0.5000)  4 Br 3.02
Br (0.0000, 0.0000, 0.0000)  2 Zr 3.02, 2 Tl 3.02
Br (0.5000, 0.0000, 0.5000)  2 Tl 3.02, 2 Zr 3.02
Zr (0.5000, 0.5000, 0.0000)  4 Br 3.02

Values from the calculation:
* polymorph energy (0 for the lowest one): 580 meV/atom
* energy relative to the elements, uncorrected: -0.224 eV per atom


Record 3
A relaxed structure of ZrTlBr2, computed with GGA-PBE.

abc: 10.0505 10.0505 10.0505
angles: 20.57 20.57 20.57
With the nearest neighbours (Å) after each atom.
Atoms (fractional coordinates):
Br (0.0202, 0.0202, 0.0202)  3 Zr 2.76
Tl (0.4965, 0.4965, 0.4965)  3 Br 2.95, 3 Zr 3.16
Zr (0.7488, 0.7488, 0.7488)  3 Br 2.76
Br (0.2344, 0.2344, 0.2344)  3 Tl 2.95

Values from the calculation:
* polymorph energy (0 for the lowest one): 269 meV/atom
* energy relative to the elements, uncorrected: -0.535 eV per atom


Record 4
A relaxed structure of Zr2TlBr, computed with GGA-PBE.

abc: 3.3187 3.3187 9.3900
angles: 90.00 90.00 90.00
With the nearest neighbours (Å) after each atom.
Atoms (fractional coordinates):
Tl (0.5000, 0.5000, 0.7896)  4 Zr 3.18, 4 Tl 3.32
Zr (0.5000, 0.5000, 0.2548)  4 Br 2.91, 4 Zr 3.24
Zr (0.0000, 0.0000, 0.0175)  4 Tl 3.18, 8 Zr 3.24-3.32
Br (0.0000, 0.0000, 0.4381)  4 Zr 2.91

Values from the calculation:
* polymorph energy (0 for the lowest one): 0 meV/atom
* energy relative to the elements, uncorrected: -0.257 eV per atom


Record 5
A relaxed structure of ZrTlBr4, computed with GGA-PBE.

abc: 6.3638 9.3299 8.3411
angles: 113.33 98.17 115.34
With the nearest neighbours (Å) after each atom.
Atoms (fractional coordinates):
Br (0.4113, 0.9494, 0.6934)  2 Zr 2.83
Tl (0.3817, 0.6317, 0.2634)  8 Br 3.39-3.55
Tl (0.6183, 0.3683, 0.7366)  8 Br 3.39-3.55
Zr (0.7499, 0.9999, 0.9998)  8 Br 2.83-2.89
Br (0.7820, 0.7439, 0.6934)  2 Zr 2.83
Br (0.8965, 0.8005, 0.1280)  2 Zr 2.87-2.89
Br (0.7315, 0.3275, 0.1280)  2 Zr 2.87-2.89
Br (0.5887, 0.0506, 0.3066)  2 Zr 2.83
Zr (0.2501, 0.0001, 0.0002)  8 Br 2.83-2.89
Br (0.1035, 0.1995, 0.8720)  2 Zr 2.87-2.89
Br (0.2180, 0.2561, 0.3066)  2 Zr 2.83
Br (0.2685, 0.6725, 0.8720)  2 Zr 2.87-2.89

Values from the calculation:
* polymorph energy (0 for the lowest one): 0 meV/atom
* energy relative to the elements, uncorrected: -1.165 eV per atom


Record 6
A relaxed structure of ZrTlBr2, computed with GGA-PBE.

abc: 5.2035 5.2035 5.2035
angles: 60.00 60.00 60.00
With the nearest neighbours (Å) after each atom.
Atoms (fractional coordinates):
Br (0.7500, 0.7500, 0.7500)  4 Tl 3.19, 4 Zr 3.19
Tl (0.5000, 0.5000, 0.5000)  8 Br 3.19
Br (0.2500, 0.2500, 0.2500)  4 Tl 3.19, 4 Zr 3.19
Zr (0.0000, 0.0000, 0.0000)  8 Br 3.19

Values from the calculation:
* polymorph energy (0 for the lowest one): 652 meV/atom
* energy relative to the elements, uncorrected: -0.152 eV per atom